The following is a DFT calculation (PBE-GGA) of an optimized crystal structure of AcN2Cl3.

Computed properties:
formation energy (no corrections): 0.15 eV per atom
magnetization: 5.983 μB/f.u.

a b c (Å): 17.675 5.782 4.513
angles (deg): 90.00 104.40 90.00
Fractional coordinates of all 12 atoms:
Ac  0.000  0.000  0.000
Ac  0.500  0.500  0.000
N  0.215  0.500  0.719
N  0.285  0.000  0.281
N  0.715  0.000  0.719
N  0.785  0.500  0.281
Cl  0.000  0.500  0.000
Cl  0.107  0.000  0.604
Cl  0.393  0.500  0.396
Cl  0.500  0.000  0.000
Cl  0.607  0.500  0.604
Cl  0.893  0.000  0.396